(1)
DFT (PBE) results for an optimized crystal structure of La8PmDy3.

The structure belongs to space group Immm (No. 71); the cell edges are 6.852, 11.281 and 11.735 Å and the angles 90.00°, 90.00° and 90.00°. Symmetry generates all atoms from La at (0.000, 0.165, 0.249), La at (0.221, 0.276, 0.500), Pm at (0.000, 0.000, 0.500), Dy at (0.000, 0.000, 0.000) and Dy at (0.000, 0.500, 0.273).

The calculation puts the final energy at -4.5181 eV/atom. As for the density of states at the Fermi level: 39.04 states/eV/cell. Its mass density is 6.4 g/cm3.

***

(2)
DFT (PBE) results for an optimized crystal structure of LaPm4Dy15.

The structure belongs to space group P4/mmm (No. 123); the cell edges are 5.064, 5.064 and 25.210 Å and the angles 90.00°, 90.00° and 90.00°. Symmetry generates all atoms from La at (0.000, 0.000, 0.000), Pm at (0.000, 0.000, 0.200), Pm at (0.000, 0.000, 0.400), Dy at (0.000, 0.500, 0.101), Dy at (0.000, 0.500, 0.301), Dy at (0.000, 0.500, 0.500), Dy at (0.500, 0.500, 0.000), Dy at (0.500, 0.500, 0.201) and Dy at (0.500, 0.500, 0.400).

The calculation puts the final energy at -4.6280 eV/atom. As for the density of states at the Fermi level: 26.89 states/eV/cell. Its mass density is 8.1 g/cm3.

***

(3)
DFT (PBE) results for an optimized crystal structure of La2Pm5Dy12.

The structure belongs to space group C2/m (No. 12); the cell edges are 15.745, 9.349 and 8.678 Å and the angles 90.00°, 91.78° and 90.00°. Symmetry generates all atoms from La at (0.000, 0.179, 0.000), Pm at (0.000, 0.500, 0.500), Pm at (0.203, 0.000, 0.016), Pm at (0.230, 0.500, 0.573), Dy at (0.059, 0.000, 0.334), Dy at (0.083, 0.500, 0.878), Dy at (0.128, 0.189, 0.658) and Dy at (0.152, 0.322, 0.242).

The calculation puts the final energy at -4.5414 eV/atom. As for the density of states at the Fermi level: 55.03 states/eV/cell. The energy relative to the lowest polymorph listed for this composition is 48 meV per atom. Its mass density is 7.7 g/cm3.